[1]
Here is a relaxed TbTm2ScS6 crystal from the Alexandria database. Energies are from PBE.

Geometry as POSCAR:
```
TbTm2ScS6
1.0
6.761 0.000 0.000
3.381 5.855 0.000
3.380 1.952 6.070
S Tm Sc Tb
6 2 1 1
Direct
0.121 0.410 0.756
0.220 0.931 0.249
0.410 0.712 0.756
0.931 0.600 0.249
0.712 0.121 0.756
0.600 0.220 0.249
0.518 0.518 0.447
0.014 0.014 0.957
0.320 0.320 0.041
0.815 0.815 0.555
```

Summary:
E_form (uncorrected), eV per atom: -2.0067
E, eV/atom: -6.474


[2]
Here is a relaxed TbScU2S4 crystal from the Alexandria database. Energies are from PBE.

Geometry as POSCAR:
```
TbScU2S4
1.0
3.771 0.000 0.000
0.000 6.550 0.117
0.000 -2.288 6.459
U S Sc Tb
2 4 1 1
Direct
0.500 0.000 0.500
0.000 0.500 0.500
0.000 0.756 0.243
0.500 0.237 0.237
0.500 0.763 0.763
0.000 0.244 0.757
0.000 0.000 0.000
0.500 0.500 0.000
```

Summary:
E_form (uncorrected), eV per atom: -1.6311
E, eV/atom: -7.887


[3]
Here is a relaxed TbY3Sc2S6 crystal from the Alexandria database. Energies are from PBE.

Geometry as POSCAR:
```
TbY3Sc2S6
1.0
6.666 -0.009 -0.001
-3.339 5.770 -0.001
-1.111 -1.923 6.289
Y S Sc Tb
3 6 2 1
Direct
0.162 0.838 0.500
0.838 0.162 0.500
0.500 0.500 0.500
0.735 0.735 0.237
0.080 0.424 0.240
0.265 0.265 0.763
0.424 0.080 0.240
0.576 0.920 0.760
0.920 0.576 0.760
0.666 0.334 0.000
0.334 0.666 0.000
0.000 0.000 0.000
```

Summary:
E_form (uncorrected), eV per atom: -1.9451
E, eV/atom: -7.066


[4]
Here is a relaxed TbYSc2S4 crystal from the Alexandria database. Energies are from PBE.

Geometry as POSCAR:
```
TbYSc2S4
1.0
-1.832 2.144 -2.521
-2.495 -5.452 -2.825
-5.741 -1.506 2.890
S Sc Tb Y
4 2 1 1
Direct
0.000 0.768 0.743
0.500 0.232 0.755
0.500 0.768 0.245
0.000 0.232 0.256
0.500 0.000 0.500
0.000 0.000 0.000
0.500 0.500 0.000
0.000 0.500 0.500
```

Summary:
E_form (uncorrected), eV per atom: -1.9239
E, eV/atom: -6.957


[5]
Here is a relaxed TbY2Sc3S6 crystal from the Alexandria database. Energies are from PBE.

Geometry as POSCAR:
```
TbY2Sc3S6
1.0
6.592 -0.012 0.000
-3.305 5.704 0.000
-1.096 -1.899 6.234
Tb S Y Sc
1 6 2 3
Direct
0.000 0.000 0.000
0.911 0.577 0.733
0.423 0.089 0.267
0.245 0.245 0.733
0.577 0.911 0.733
0.089 0.423 0.267
0.755 0.755 0.267
0.333 0.667 0.000
0.667 0.333 0.000
0.500 0.500 0.500
0.166 0.834 0.500
0.834 0.166 0.500
```

Summary:
E_form (uncorrected), eV per atom: -1.9272
E, eV/atom: -7.037


[6]
Here is a relaxed Tb2YSc3S6 crystal from the Alexandria database. Energies are from PBE.

Geometry as POSCAR:
```
Tb2YSc3S6
1.0
-2.441 -4.136 4.517
-0.410 -1.476 -6.412
6.464 -1.036 0.949
S Y Tb Sc
6 1 2 3
Direct
0.757 0.757 0.268
0.089 0.422 0.268
0.911 0.578 0.732
0.243 0.243 0.732
0.578 0.911 0.732
0.422 0.089 0.268
0.000 0.000 0.000
0.667 0.333 0.000
0.333 0.667 0.000
0.167 0.833 0.500
0.833 0.167 0.500
0.500 0.500 0.500
```

Summary:
E_form (uncorrected), eV per atom: -1.9293
E, eV/atom: -6.886


[7]
Here is a relaxed Tb4Y3ScS8 crystal from the Alexandria database. Energies are from PBE.

Geometry as POSCAR:
```
Tb4Y3ScS8
1.0
7.795 0.000 0.000
0.000 7.800 -0.002
-3.898 -3.894 5.515
Sc S Y Tb
1 8 3 4
Direct
0.000 0.500 0.000
0.245 0.257 0.001
0.250 0.251 0.501
0.756 0.257 0.512
0.755 0.743 0.999
0.244 0.743 0.488
0.756 0.257 0.001
0.750 0.749 0.499
0.244 0.743 0.999
0.500 0.500 0.000
0.500 0.500 0.500
0.000 0.500 0.500
0.000 0.000 0.000
0.500 0.000 0.500
0.000 0.000 0.500
0.500 0.000 0.000
```

Summary:
E_form (uncorrected), eV per atom: -1.9734
E, eV/atom: -6.802


[8]
Here is a relaxed Tb2YScS4 crystal from the Alexandria database. Energies are from PBE.

Geometry as POSCAR:
```
Tb2YScS4
1.0
-3.136 -0.259 -2.203
3.794 -2.001 -5.165
-2.003 -5.399 3.487
Y S Tb Sc
1 4 2 1
Direct
0.500 0.500 0.000
0.500 0.238 0.238
0.500 0.762 0.762
0.000 0.245 0.757
0.000 0.755 0.243
0.500 0.000 0.500
0.000 0.500 0.500
0.000 0.000 0.000
```

Summary:
E_form (uncorrected), eV per atom: -1.9547
E, eV/atom: -6.775


[9]
Here is a relaxed TbY2ScS6 crystal from the Alexandria database. Energies are from PBE.

Geometry as POSCAR:
```
TbY2ScS6
1.0
-5.801 -2.858 -2.172
-0.666 -1.820 -6.541
0.074 -7.080 -1.596
S Y Sc Tb
6 2 1 1
Direct
0.705 0.117 0.759
0.117 0.419 0.759
0.596 0.215 0.251
0.418 0.705 0.759
0.938 0.596 0.251
0.215 0.938 0.251
0.016 0.016 0.951
0.519 0.519 0.442
0.320 0.320 0.040
0.816 0.816 0.553
```

Summary:
E_form (uncorrected), eV per atom: -2.0074
E, eV/atom: -6.873


[10]
Here is a relaxed ScTc2S2 crystal from the Alexandria database. Energies are from PBE.

Geometry as POSCAR:
```
ScTc2S2
1.0
7.053 0.000 0.000
0.000 7.053 0.000
0.000 0.000 3.038
Tc Sc S
4 2 4
Direct
0.137 0.363 0.000
0.863 0.637 0.000
0.637 0.137 0.000
0.363 0.863 0.000
0.500 0.500 0.000
0.000 0.000 0.000
0.831 0.331 0.500
0.169 0.669 0.500
0.331 0.169 0.500
0.669 0.831 0.500
```

Summary:
E_form (uncorrected), eV per atom: -0.0366
E, eV/atom: -7.100


[11]
Here is a relaxed ScTcS crystal from the Alexandria database. Energies are from PBE.

Geometry as POSCAR:
```
ScTcS
1.0
-0.402 -1.557 2.828
0.162 -1.703 -2.785
10.839 -0.783 1.108
Tc Sc S
2 2 2
Direct
0.610 0.219 0.500
0.283 0.565 0.000
0.610 0.220 0.182
0.610 0.220 0.818
0.277 0.554 0.353
0.277 0.554 0.647
```

Summary:
E_form (uncorrected), eV per atom: -0.4064
E, eV/atom: -7.348


[12]
Here is a relaxed ScTc3S crystal from the Alexandria database. Energies are from PBE.

Geometry as POSCAR:
```
ScTc3S
1.0
-1.959 -1.356 3.987
-3.312 -2.221 -2.382
2.602 -3.848 -0.030
Tc Sc S
3 1 1
Direct
0.500 0.000 0.000
0.000 0.000 0.500
0.000 0.500 0.000
0.000 0.000 0.000
0.500 0.500 0.500
```

Summary:
E_form (uncorrected), eV per atom: 2.1298
E, eV/atom: -6.182


[13]
Here is a relaxed ScTc2S2 crystal from the Alexandria database. Energies are from PBE.

Geometry as POSCAR:
```
ScTc2S2
1.0
-1.450 3.079 2.768
-1.011 -3.108 2.926
2.669 0.305 4.534
Sc Tc S
1 2 2
Direct
0.000 0.000 0.000
0.640 0.640 0.719
0.360 0.360 0.281
0.250 0.750 0.500
0.750 0.250 0.500
```

Summary:
E_form (uncorrected), eV per atom: -0.3528
E, eV/atom: -7.417


[14]
Here is a relaxed ScTc3S crystal from the Alexandria database. Energies are from PBE.

Geometry as POSCAR:
```
ScTc3S
1.0
-3.477 -2.624 -0.465
2.650 -3.324 -1.057
0.280 -1.120 4.226
Tc S Sc
3 1 1
Direct
0.500 0.000 0.000
0.000 0.000 0.500
0.000 0.500 0.000
0.000 0.000 0.000
0.500 0.500 0.500
```

Summary:
E_form (uncorrected), eV per atom: 0.0321
E, eV/atom: -8.279


[15]
Here is a relaxed Sc4TcS2 crystal from the Alexandria database. Energies are from PBE.

Geometry as POSCAR:
```
Sc4TcS2
1.0
-3.150 1.225 -1.128
-0.965 -2.409 5.707
2.540 11.333 5.213
S Sc Tc
4 8 2
Direct
0.138 0.277 0.437
0.138 0.277 0.063
0.862 0.723 0.563
0.862 0.723 0.937
0.500 0.000 0.500
0.943 0.887 0.750
0.788 0.575 0.126
0.500 0.000 0.000
0.057 0.113 0.250
0.212 0.425 0.874
0.788 0.575 0.374
0.212 0.425 0.626
0.396 0.792 0.250
0.604 0.208 0.750
```

Summary:
E_form (uncorrected), eV per atom: -1.0727
E, eV/atom: -7.351


[16]
Here is a relaxed Sc3TcS crystal from the Alexandria database. Energies are from PBE.

Geometry as POSCAR:
```
Sc3TcS
1.0
-1.072 -0.602 -4.820
-1.973 -4.456 0.995
-4.438 2.126 0.721
Sc S Tc
3 1 1
Direct
0.000 0.500 0.000
0.000 0.000 0.500
0.500 0.000 0.000
0.500 0.500 0.500
0.000 0.000 0.000
```

Summary:
E_form (uncorrected), eV per atom: 0.0877
E, eV/atom: -6.610


[17]
Here is a relaxed Sc3TcS crystal from the Alexandria database. Energies are from PBE.

Geometry as POSCAR:
```
Sc3TcS
1.0
4.721 0.000 0.000
0.000 4.721 0.000
0.000 0.000 4.721
S Sc Tc
1 3 1
Direct
0.000 0.000 0.000
0.000 0.500 0.000
0.000 0.000 0.500
0.500 0.000 0.000
0.500 0.500 0.500
```

Summary:
E_form (uncorrected), eV per atom: -0.2649
E, eV/atom: -6.962


[18]
Here is a relaxed ScTlTcS2 crystal from the Alexandria database. Energies are from PBE.

Geometry as POSCAR:
```
ScTlTcS2
1.0
4.677 0.000 0.000
0.000 5.037 0.000
0.000 0.000 4.677
S Sc Tl Tc
2 1 1 1
Direct
0.500 0.000 0.000
0.000 0.000 0.500
0.000 0.500 0.000
0.500 0.500 0.500
0.000 0.000 0.000
```

Summary:
E_form (uncorrected), eV per atom: -0.0707
E, eV/atom: -5.534


[19]
Here is a relaxed ScTcWS2 crystal from the Alexandria database. Energies are from PBE.

Geometry as POSCAR:
```
ScTcWS2
1.0
-3.335 2.119 2.287
-3.216 -0.360 -4.357
-1.549 -4.033 1.477
S Tc Sc W
2 1 1 1
Direct
0.500 0.000 0.000
0.000 0.000 0.500
0.500 0.500 0.500
0.000 0.500 0.000
0.000 0.000 0.000
```

Summary:
E_form (uncorrected), eV per atom: 0.8078
E, eV/atom: -6.773


[20]
Here is a relaxed ScTeS2 crystal from the Alexandria database. Energies are from PBE.

Geometry as POSCAR:
```
ScTeS2
1.0
-1.143 -1.970 6.885
-5.857 -3.754 -2.047
-1.557 -5.637 1.948
S Te Sc
4 2 2
Direct
0.375 0.411 0.750
0.161 0.625 0.250
0.589 0.125 0.250
0.875 0.839 0.750
0.000 0.000 0.000
0.750 0.250 0.500
0.250 0.750 0.500
0.500 0.500 0.000
```

Summary:
E_form (uncorrected), eV per atom: -0.6350
E, eV/atom: -5.067


[21]
Here is a relaxed ScTe3S crystal from the Alexandria database. Energies are from PBE.

Geometry as POSCAR:
```
ScTe3S
1.0
5.222 0.000 0.000
0.000 5.222 0.000
0.000 0.000 5.222
Te Sc S
3 1 1
Direct
0.500 0.000 0.000
0.000 0.000 0.500
0.000 0.500 0.000
0.500 0.500 0.500
0.000 0.000 0.000
```

Summary:
E_form (uncorrected), eV per atom: 0.1204
E, eV/atom: -3.856


[22]
Here is a relaxed ScTe3S crystal from the Alexandria database. Energies are from PBE.

Geometry as POSCAR:
```
ScTe3S
1.0
-3.956 -3.696 0.843
2.997 -3.795 -2.575
2.322 -1.398 4.762
Sc Te S
1 3 1
Direct
0.000 0.000 0.000
0.500 0.000 0.000
0.000 0.500 0.000
0.000 0.000 0.500
0.500 0.500 0.500
```

Summary:
E_form (uncorrected), eV per atom: 0.2198
E, eV/atom: -3.757


[23]
Here is a relaxed Sc3TeS crystal from the Alexandria database. Energies are from PBE.

Geometry as POSCAR:
```
Sc3TeS
1.0
-1.107 3.609 -0.791
0.914 -1.069 -6.161
-8.357 -2.575 -0.050
Sc Te S
6 2 2
Direct
0.250 0.979 0.344
0.750 0.021 0.656
0.250 0.483 0.339
0.750 0.517 0.661
0.750 0.695 0.088
0.250 0.305 0.912
0.750 0.207 0.157
0.250 0.793 0.843
0.250 0.264 0.582
0.750 0.736 0.418
```

Summary:
E_form (uncorrected), eV per atom: -1.1727
E, eV/atom: -6.425


[24]
Here is a relaxed Sc4Te5S crystal from the Alexandria database. Energies are from PBE.

Geometry as POSCAR:
```
Sc4Te5S
1.0
-1.539 -3.560 -0.921
7.483 -2.798 -1.685
-0.056 -0.079 9.018
Te Sc S
5 4 1
Direct
0.164 0.332 0.328
0.500 0.500 0.000
0.167 0.824 0.334
0.833 0.176 0.666
0.836 0.668 0.672
0.660 0.080 0.320
0.340 0.920 0.680
0.001 0.239 0.001
0.999 0.761 0.999
0.500 0.000 0.000
```

Summary:
E_form (uncorrected), eV per atom: -1.2474
E, eV/atom: -5.764